1.
Compound: MnNb2Ir5Os
Source: Alexandria via LeMat-Bulk
Functional: GGA-PBE
Structure: relaxed

Values from the calculation:
Symmetry ... I4/mcm, No. 140

a = 7.566 Å, b = 7.566 Å, c = 7.627 Å
α = 119.74°, β = 119.74°, γ = 90.00°
Sites, in units of the cell vectors:
Mn 0.750 0.750 0.500
Mn 0.250 0.250 0.500
Ir 0.182 0.063 0.745
Ir 0.437 0.318 0.255
Ir 0.682 0.182 0.745
Ir 0.500 0.500 0.000
Ir 0.000 0.000 0.000
Ir 0.063 0.563 0.745
Ir 0.563 0.682 0.745
Ir 0.937 0.437 0.255
Ir 0.818 0.937 0.255
Ir 0.318 0.818 0.255
Nb 0.116 0.384 0.000
Nb 0.616 0.116 0.000
Nb 0.884 0.616 0.000
Nb 0.384 0.884 0.000
Os 0.750 0.250 0.500
Os 0.250 0.750 0.500

2.
Compound: Mn2NbIrPb
Source: Alexandria via LeMat-Bulk
Functional: GGA-PBE
Structure: relaxed

Values from the calculation:
Symmetry ... P4/mmm, No. 123

a = 4.556 Å, b = 4.917 Å, c = 4.556 Å
α = 90.00°, β = 90.00°, γ = 90.00°
Sites, in units of the cell vectors:
Mn 0.000 0.000 0.500
Mn 0.500 0.000 0.000
Ir 0.000 0.000 0.000
Nb 0.000 0.500 0.000
Pb 0.500 0.500 0.500

3.
Compound: MnNb2Ir5Pt
Source: Alexandria via LeMat-Bulk
Functional: GGA-PBE
Structure: relaxed

Values from the calculation:
Symmetry ... I4/mcm, No. 140

a = 7.512 Å, b = 7.512 Å, c = 7.623 Å
α = 119.52°, β = 119.52°, γ = 90.00°
Sites, in units of the cell vectors:
Ir 0.658 0.158 0.731
Ir 0.500 0.500 0.000
Ir 0.158 0.074 0.731
Ir 0.426 0.342 0.269
Ir 0.342 0.842 0.269
Ir 0.842 0.926 0.269
Ir 0.000 0.000 0.000
Ir 0.574 0.658 0.731
Ir 0.926 0.426 0.269
Ir 0.074 0.574 0.731
Pt 0.750 0.250 0.500
Pt 0.250 0.750 0.500
Mn 0.250 0.250 0.500
Mn 0.750 0.750 0.500
Nb 0.383 0.883 0.000
Nb 0.117 0.383 0.000
Nb 0.617 0.117 0.000
Nb 0.883 0.617 0.000

4.
Compound: PuMnNbIr
Source: Alexandria via LeMat-Bulk
Functional: GGA-PBE
Structure: relaxed

Values from the calculation:
Symmetry ... F-43m, No. 216

a = 4.574 Å, b = 4.574 Å, c = 4.574 Å
α = 60.00°, β = 60.00°, γ = 60.00°
Sites, in units of the cell vectors:
Mn 0.250 0.250 0.250
Ir 0.500 0.500 0.500
Pu 0.000 0.000 0.000
Nb 0.750 0.750 0.750

Formation enthalpy at 0 K (computed, eV per atom): 0.448, 1.189, 0.361, 0.032
Calculated density (computed, g/cm3): 14.9, 9.8, 15.0, 14.3